(1)
Here is an optimized crystal structure of Re2AsRh from Alexandria. Energies are from PBEsol.

Properties
Density (g cm⁻³): 15.5
DFT total energy (eV per formula unit): -39.19
Crystal system: monoclinic

Unit cell a=4.862 b=4.862 c=4.458 alpha=93.44 beta=93.44 gamma=34.06
Atoms (fractional coordinates):
Re1 0.226 0.226 0.238
Re2 0.774 0.774 0.762
As1 0.000 0.000 0.500
Rh1 0.500 0.500 0.000



(2)
Here is an optimized crystal structure of Re2AsRu from Alexandria. Energies are from PBEsol.

Properties
Density (g cm⁻³): 15.7
DFT total energy (eV per formula unit): -40.23
Crystal system: orthorhombic

Unit cell a=4.782 b=4.782 c=2.832 alpha=90.00 beta=90.00 gamma=116.71
Atoms (fractional coordinates):
Re1 0.000 0.500 0.000
Re2 0.500 0.000 0.000
As1 0.000 0.000 0.500
Ru1 0.500 0.500 0.500



(3)
Here is an optimized crystal structure of Re2AsRu from Alexandria. Energies are from PBEsol.

Properties
Density (g cm⁻³): 15.7
DFT total energy (eV per formula unit): -40.19
Crystal system: cubic

Unit cell a=4.347 b=4.347 c=4.347 alpha=60.00 beta=60.00 gamma=60.00
Atoms (fractional coordinates):
Re1 0.000 0.000 0.000
Re2 0.250 0.250 0.250
As1 0.750 0.750 0.750
Ru1 0.500 0.500 0.500



(4)
Here is an optimized crystal structure of Re2AsRu from Alexandria. Energies are from PBEsol.

Properties
Density (g cm⁻³): 15.8
DFT total energy (eV per formula unit): -40.49
Crystal system: orthorhombic

Unit cell a=2.943 b=4.387 c=4.473 alpha=90.00 beta=90.00 gamma=90.00
Atoms (fractional coordinates):
Re1 0.000 0.000 0.000
Re2 0.500 0.500 0.000
As1 0.000 0.500 0.500
Ru1 0.500 0.000 0.500



(5)
Here is an optimized crystal structure of Re2AsRu from Alexandria. Energies are from PBEsol.

Properties
Density (g cm⁻³): 16.0
DFT total energy (eV per formula unit): -41.22
Crystal system: orthorhombic

Unit cell a=5.160 b=5.160 c=5.160 alpha=146.97 beta=129.75 gamma=61.46
Atoms (fractional coordinates):
Re1 0.223 0.223 0.000
Re2 0.777 0.777 0.000
As1 0.000 0.500 0.500
Ru1 0.500 0.000 0.500



(6)
Here is an optimized crystal structure of Re2AsRu from Alexandria. Energies are from PBEsol.

Properties
Density (g cm⁻³): 16.2
DFT total energy (eV per formula unit): -41.23
Crystal system: tetragonal

Unit cell a=2.917 b=2.917 c=6.609 alpha=90.00 beta=90.00 gamma=90.00
Atoms (fractional coordinates):
Re1 0.000 0.000 0.235
Re2 0.000 0.000 0.765
As1 0.500 0.500 0.000
Ru1 0.500 0.500 0.500



Number 1: E_form 0.18 eV/atom. Number 2: E_form 0.43 eV/atom. Number 3: E_form 0.44 eV/atom. Number 4: E_form 0.36 eV/atom. Number 5: E_form 0.18 eV/atom. Number 6: E_form 0.18 eV/atom.